(a)
Ba2LiCr | Alexandria via LeMat-Bulk | PBE-GGA | optimized geometry; space group = No. 123
1.0
6.003 0.000 0.000
0.000 6.009 0.000
0.000 0.000 4.340
Ba Cr Li
2 1 1
Direct
0.000 0.000 0.000
0.500 0.500 0.000
0.500 0.000 0.500
0.000 0.500 0.500

(b)
Ba2LiCr | Alexandria via LeMat-Bulk | PBE-GGA | optimized geometry; space group = No. 99
1.0
4.060 0.000 0.000
0.000 4.060 0.000
0.000 0.000 9.333
Ba Cr Li
2 1 1
Direct
0.500 0.500 0.321
0.000 0.000 0.936
0.000 0.000 0.564
0.500 0.500 0.680

(b) is the least stable structure shown above.